# Ac2ThS5 | Alexandria via LeMat-Bulk | PBE | optimized geometry
data_Ac2ThS5
_cell_length_a 12.3986
_cell_length_b 8.5765
_cell_length_c 7.7848
_cell_angle_alpha 90.00
_cell_angle_beta 90.00
_cell_angle_gamma 90.00
_space_group_name_H-M_alt 'P n m a'
_space_group_IT_number 62
loop_
_space_group_symop_operation_xyz
'x,y,z'
'-x,-y,-z'
'-x+1/2,-y,z+1/2'
'x+1/2,y,-z+1/2'
'x+1/2,-y+1/2,-z+1/2'
'-x+1/2,y+1/2,z+1/2'
'-x,y+1/2,-z'
'x,-y+1/2,z'
loop_
_atom_site_label
_atom_site_type_symbol
_atom_site_fract_x
_atom_site_fract_y
_atom_site_fract_z
Ac1 Ac 0.1750 0.0020 0.0298
Th1 Th 0.0079 0.2500 0.5669
S1 S 0.0029 0.2500 0.9480
S2 S 0.0921 0.5371 0.6632
S3 S 0.1885 0.2500 0.3383
S4 S 0.2120 0.7500 0.3126
# uncorrected formation energy: -2.174 eV/atom
# final energy: -6.71 eV/atom
# V: 827.8 Å³ per cell